A plane-wave DFT calculation with PBE was carried out for an optimized crystal structure of SmDyCdPt.

Results
* calculated density: 10.70 g/cm³
* ΔE_f: -67 kJ/mol of atoms
* raw total energy: -4.759 eV per atom
* total magnetization: 0.000 μB per atom

Structure (extended XYZ):
```
4
Lattice="0.000 3.638 3.638 3.638 0.000 3.638 3.638 3.638 0.000" Properties=species:S:1:pos:R:3 pbc="T T T"
Sm 0.000 0.000 0.000
Dy 3.638 3.638 3.638
Cd 5.457 5.457 5.457
Pt 1.819 1.819 1.819
```

A plane-wave DFT calculation with PBE was carried out for an optimized crystal structure of DyCdSnPt.

Results
* calculated density: 11.33 g/cm³
* ΔE_f: -57 kJ/mol of atoms
* raw total energy: -4.477 eV per atom
* total magnetization: 0.000 μB per atom

Structure (extended XYZ):
```
4
Lattice="0.000 3.507 3.507 3.507 0.000 3.507 3.507 3.507 0.000" Properties=species:S:1:pos:R:3 pbc="T T T"
Dy 0.000 0.000 0.000
Cd 1.754 1.754 1.754
Sn 3.507 3.507 3.507
Pt 5.261 5.261 5.261
```

A plane-wave DFT calculation with PBE was carried out for an optimized crystal structure of SrDyCdPt.

Results
* calculated density: 9.15 g/cm³
* ΔE_f: -52 kJ/mol of atoms
* raw total energy: -3.852 eV per atom
* total magnetization: 0.000 μB per atom

Structure (extended XYZ):
```
4
Lattice="0.000 3.699 3.699 3.699 0.000 3.699 3.699 3.699 0.000" Properties=species:S:1:pos:R:3 pbc="T T T"
Sr 0.000 0.000 0.000
Dy 3.699 3.699 3.699
Cd 1.849 1.849 1.849
Pt 5.548 5.548 5.548
```

A plane-wave DFT calculation with PBE was carried out for an optimized crystal structure of TbDyCdPt.

Results
* calculated density: 11.11 g/cm³
* ΔE_f: -70 kJ/mol of atoms
* raw total energy: -4.768 eV per atom
* total magnetization: 0.000 μB per atom

Structure (extended XYZ):
```
4
Lattice="0.000 3.608 3.608 3.608 0.000 3.608 3.608 3.608 0.000" Properties=species:S:1:pos:R:3 pbc="T T T"
Tb 0.000 0.000 0.000
Dy 3.608 3.608 3.608
Cd 1.804 1.804 1.804
Pt 5.413 5.413 5.413
```

A plane-wave DFT calculation with PBE was carried out for an optimized crystal structure of DyThCdPt.

Results
* calculated density: 11.77 g/cm³
* ΔE_f: -55 kJ/mol of atoms
* raw total energy: -5.315 eV per atom
* total magnetization: 0.000 μB per atom

Structure (extended XYZ):
```
4
Lattice="0.000 3.673 3.673 3.673 0.000 3.673 3.673 3.673 0.000" Properties=species:S:1:pos:R:3 pbc="T T T"
Dy 0.000 0.000 0.000
Th 3.673 3.673 3.673
Cd 1.836 1.836 1.836
Pt 5.509 5.509 5.509
```

A plane-wave DFT calculation with PBE was carried out for an optimized crystal structure of DyYCdPt.

Results
* calculated density: 9.90 g/cm³
* ΔE_f: -70 kJ/mol of atoms
* raw total energy: -5.233 eV per atom
* total magnetization: 0.000 μB per atom

Structure (extended XYZ):
```
4
Lattice="0.000 3.606 3.606 3.606 0.000 3.606 3.606 3.606 0.000" Properties=species:S:1:pos:R:3 pbc="T T T"
Dy 0.000 0.000 0.000
Y 3.606 3.606 3.606
Cd 5.409 5.409 5.409
Pt 1.803 1.803 1.803
```

A plane-wave DFT calculation with PBE was carried out for an optimized crystal structure of Dy2Zn2CdPt5.

Results
* calculated density: 14.30 g/cm³
* ΔE_f: -77 kJ/mol of atoms
* raw total energy: -5.090 eV per atom
* total magnetization: 0.000 μB per atom

Structure (extended XYZ):
```
20
Lattice="9.624 0.000 0.000 0.000 9.624 0.000 0.000 0.000 3.871" Properties=species:S:1:pos:R:3 pbc="T T T"
Dy 1.703 3.109 0.000
Dy 3.109 7.921 0.000
Dy 6.515 1.703 0.000
Dy 7.921 6.515 0.000
Zn 1.157 5.969 0.000
Zn 3.655 1.157 0.000
Zn 5.969 8.467 0.000
Zn 8.467 3.655 0.000
Cd 0.000 0.000 0.000
Cd 4.812 4.812 0.000
Pt 0.000 4.812 1.935
Pt 0.657 7.624 1.935
Pt 1.999 0.657 1.935
Pt 2.812 5.469 1.935
Pt 4.155 2.812 1.935
Pt 4.812 0.000 1.935
Pt 5.469 6.811 1.935
Pt 6.811 4.155 1.935
Pt 7.624 8.966 1.935
Pt 8.966 1.999 1.935
```

A plane-wave DFT calculation with PBE was carried out for an optimized crystal structure of DyZrCdPt.

Results
* calculated density: 10.74 g/cm³
* ΔE_f: -50 kJ/mol of atoms
* raw total energy: -5.543 eV per atom
* total magnetization: 0.000 μB per atom

Structure (extended XYZ):
```
4
Lattice="0.000 3.514 3.514 3.514 0.000 3.514 3.514 3.514 0.000" Properties=species:S:1:pos:R:3 pbc="T T T"
Dy 0.000 0.000 0.000
Zr 3.514 3.514 3.514
Cd 1.757 1.757 1.757
Pt 5.271 5.271 5.271
```